# AlTcOs PBE-GGA optimized geometry
data_AlTcOs
_cell_length_a 2.7851
_cell_length_b 2.7851
_cell_length_c 6.4966
_cell_angle_alpha 90.00
_cell_angle_beta 90.00
_cell_angle_gamma 120.00
_symmetry_space_group_name_H-M 'P 3 m 1'
_symmetry_Int_Tables_number 156
_symmetry_space_group_name_Hall 'P 3 -2"'
loop_
_atom_site_label
_atom_site_type_symbol
_atom_site_fract_x
_atom_site_fract_y
_atom_site_fract_z
_atom_site_occupancy
Al1 Al 0.0000 0.0000 0.0000 1
Tc1 Tc 0.3333 0.6667 0.6592 1
Os1 Os 0.6667 0.3333 0.3381 1
# **Offset from the most stable computed form**: 18.90 kJ/mol of atoms
# **Size of the total moment**: 0.0 μB/f.u.

# Ga2AgTe PBE-GGA optimized geometry
data_Ga2AgTe
_cell_length_a 3.9527
_cell_length_b 3.9527
_cell_length_c 25.7206
_cell_angle_alpha 90.00
_cell_angle_beta 90.00
_cell_angle_gamma 120.00
_symmetry_space_group_name_H-M 'R -3 m'
_symmetry_Int_Tables_number 166
_symmetry_space_group_name_Hall '-R 3 2"'
loop_
_atom_site_label
_atom_site_type_symbol
_atom_site_fract_x
_atom_site_fract_y
_atom_site_fract_z
_atom_site_occupancy
Ga1 Ga 0.0000 0.0000 0.0982 1
Ag1 Ag 0.0000 0.0000 0.0000 1
Te1 Te 0.0000 0.0000 0.5000 1
# **Formation energy from raw total energies**: 157.5 meV/atom
# **Size of the total moment**: 0.0 μB/f.u.

# CaHo2ScSb4 PBE-GGA optimized geometry
data_CaHo2ScSb4
_cell_length_a 8.7135
_cell_length_b 12.3154
_cell_length_c 8.7132
_cell_angle_alpha 90.00
_cell_angle_beta 90.00
_cell_angle_gamma 90.00
_symmetry_space_group_name_H-M 'F m m 2'
_symmetry_Int_Tables_number 42
_symmetry_space_group_name_Hall 'F 2 -2'
loop_
_atom_site_label
_atom_site_type_symbol
_atom_site_fract_x
_atom_site_fract_y
_atom_site_fract_z
_atom_site_occupancy
Ca1 Ca 0.0000 0.0000 0.0000 1
Ho1 Ho 0.2500 0.2500 0.2507 1
Sc1 Sc 0.0000 0.0000 0.5009 1
Sb1 Sb 0.0000 0.2394 0.5007 1
Sb2 Sb 0.2496 0.0000 0.2504 1
# **Formation energy from raw total energies**: -957.4 meV/atom
# **Size of the total moment**: 0.0 μB/f.u.

# ZrAsI2 PBE-GGA optimized geometry
data_ZrAsI2
_cell_length_a 4.5303
_cell_length_b 8.0479
_cell_length_c 9.7499
_cell_angle_alpha 102.30
_cell_angle_beta 90.70
_cell_angle_gamma 104.66
_symmetry_space_group_name_H-M 'P 1'
_symmetry_Int_Tables_number 1
_symmetry_space_group_name_Hall 'P 1'
loop_
_atom_site_label
_atom_site_type_symbol
_atom_site_fract_x
_atom_site_fract_y
_atom_site_fract_z
_atom_site_occupancy
Zr1 Zr 0.0000 0.0000 0.0000 1
Zr2 Zr 0.0805 0.4877 0.8506 1
As1 As 0.6647 0.6628 0.9462 1
As2 As 0.9880 0.7654 0.7634 1
I1 I 0.1344 0.3289 0.5737 1
I2 I 0.1411 0.3965 0.1279 1
I3 I 0.4721 0.0002 0.2052 1
I4 I 0.5723 0.1249 0.8248 1
# **Offset from the most stable computed form**: 11.70 kJ/mol of atoms
# **Formation energy from raw total energies**: -662.3 meV/atom
# **Size of the total moment**: 0.0 μB/f.u.

# PrCdSb PBE-GGA optimized geometry
data_PrCdSb
_cell_length_a 4.7403
_cell_length_b 4.7403
_cell_length_c 4.4272
_cell_angle_alpha 90.00
_cell_angle_beta 90.00
_cell_angle_gamma 120.00
_symmetry_space_group_name_H-M 'P 3 m 1'
_symmetry_Int_Tables_number 156
_symmetry_space_group_name_Hall 'P 3 -2"'
loop_
_atom_site_label
_atom_site_type_symbol
_atom_site_fract_x
_atom_site_fract_y
_atom_site_fract_z
_atom_site_occupancy
Pr1 Pr 0.0000 0.0000 0.0000 1
Cd1 Cd 0.3333 0.6667 0.3568 1
Sb1 Sb 0.6667 0.3333 0.5733 1
# **Offset from the most stable computed form**: 0.00 kJ/mol of atoms
# **Formation energy from raw total energies**: -590.3 meV/atom
# **Size of the total moment**: 0.0 μB/f.u.

# K2CrAs PBE-GGA optimized geometry
data_K2CrAs
_cell_length_a 4.6438
_cell_length_b 5.9948
_cell_length_c 9.8043
_cell_angle_alpha 90.00
_cell_angle_beta 90.00
_cell_angle_gamma 90.00
_symmetry_space_group_name_H-M 'I m m 2'
_symmetry_Int_Tables_number 44
_symmetry_space_group_name_Hall 'I 2 -2'
loop_
_atom_site_label
_atom_site_type_symbol
_atom_site_fract_x
_atom_site_fract_y
_atom_site_fract_z
_atom_site_occupancy
K1 K 0.0000 0.0000 0.0000 1
K2 K 0.0000 0.5000 0.1811 1
Cr1 Cr 0.0000 0.0000 0.3805 1
As1 As 0.0000 0.5000 0.8029 1
# **E_tot**: -4.0694 eV/atom
# **Size of the total moment**: 4.8 μB/f.u.

# Sr2Ni PBE-GGA optimized geometry
data_Sr2Ni
_cell_length_a 6.9950
_cell_length_b 7.1204
_cell_length_c 4.3659
_cell_angle_alpha 90.00
_cell_angle_beta 90.00
_cell_angle_gamma 90.00
_symmetry_space_group_name_H-M 'P n n m'
_symmetry_Int_Tables_number 58
_symmetry_space_group_name_Hall '-P 2 2n'
loop_
_atom_site_label
_atom_site_type_symbol
_atom_site_fract_x
_atom_site_fract_y
_atom_site_fract_z
_atom_site_occupancy
Sr1 Sr 0.2324 0.1720 0.0000 1
Ni1 Ni 0.0000 0.0000 0.5000 1
# **E_tot**: -3.0098 eV/atom
# **Size of the total moment**: 0.0 μB/f.u.

# AcPr3Rh PBE-GGA optimized geometry
data_AcPr3Rh
_cell_length_a 5.6988
_cell_length_b 5.6988
_cell_length_c 5.6988
_cell_angle_alpha 90.00
_cell_angle_beta 90.00
_cell_angle_gamma 90.00
_symmetry_space_group_name_H-M 'P m -3 m'
_symmetry_Int_Tables_number 221
_symmetry_space_group_name_Hall '-P 4 2 3'
loop_
_atom_site_label
_atom_site_type_symbol
_atom_site_fract_x
_atom_site_fract_y
_atom_site_fract_z
_atom_site_occupancy
Ac1 Ac 0.0000 0.0000 0.0000 1
Pr1 Pr 0.0000 0.5000 0.5000 1
Rh1 Rh 0.5000 0.5000 0.5000 1
# **Offset from the most stable computed form**: 11.40 kJ/mol of atoms
# **Size of the total moment**: 1.5 μB/f.u.

# Tm5Cr2C6 PBE-GGA optimized geometry
data_Tm5Cr2C6
_cell_length_a 9.5930
_cell_length_b 11.3779
_cell_length_c 3.3498
_cell_angle_alpha 90.00
_cell_angle_beta 90.00
_cell_angle_gamma 90.00
_symmetry_space_group_name_H-M 'P b a m'
_symmetry_Int_Tables_number 55
_symmetry_space_group_name_Hall '-P 2 2ab'
loop_
_atom_site_label
_atom_site_type_symbol
_atom_site_fract_x
_atom_site_fract_y
_atom_site_fract_z
_atom_site_occupancy
Tm1 Tm 0.0000 0.0000 0.0000 1
Tm2 Tm 0.0850 0.2506 0.0000 1
Tm3 Tm 0.1674 0.5114 0.0000 1
Cr1 Cr 0.1671 0.7227 0.5000 1
C1 C 0.0128 0.6218 0.5000 1
C2 C 0.1666 0.8103 0.0000 1
C3 C 0.1734 0.1062 0.5000 1
# **E_tot**: -7.5570 eV/atom
# **Size of the total moment**: 0.0 μB/f.u.

# Ac2TlBr2 PBE-GGA optimized geometry
data_Ac2TlBr2
_cell_length_a 4.6238
_cell_length_b 4.6238
_cell_length_c 33.9796
_cell_angle_alpha 90.00
_cell_angle_beta 90.00
_cell_angle_gamma 120.00
_symmetry_space_group_name_H-M 'R -3 m'
_symmetry_Int_Tables_number 166
_symmetry_space_group_name_Hall '-R 3 2"'
loop_
_atom_site_label
_atom_site_type_symbol
_atom_site_fract_x
_atom_site_fract_y
_atom_site_fract_z
_atom_site_occupancy
Ac1 Ac 0.0000 0.0000 0.1063 1
Tl1 Tl 0.0000 0.0000 0.5000 1
Br1 Br 0.0000 0.0000 0.2796 1
# **Formation energy from raw total energies**: -1185.0 meV/atom
# **Size of the total moment**: 0.0 μB/f.u.

# Pr4MgCo PBE-GGA optimized geometry
data_Pr4MgCo
_cell_length_a 17.2417
_cell_length_b 7.3128
_cell_length_c 6.1431
_cell_angle_alpha 90.00
_cell_angle_beta 110.81
_cell_angle_gamma 90.00
_symmetry_space_group_name_H-M 'C 1 2/m 1'
_symmetry_Int_Tables_number 12
_symmetry_space_group_name_Hall '-C 2y'
loop_
_atom_site_label
_atom_site_type_symbol
_atom_site_fract_x
_atom_site_fract_y
_atom_site_fract_z
_atom_site_occupancy
Pr1 Pr 0.0000 0.2346 0.0000 1
Pr2 Pr 0.1175 0.2475 0.6168 1
Pr3 Pr 0.1841 0.5000 0.1834 1
Mg1 Mg 0.1944 0.0000 0.1940 1
Co1 Co 0.0002 0.5000 0.3060 1
# **Offset from the most stable computed form**: 6.92 kJ/mol of atoms
# **Size of the total moment**: 0.0 μB/f.u.

# FeCuCl5 PBE-GGA optimized geometry
data_FeCuCl5
_cell_length_a 9.0260
_cell_length_b 11.0307
_cell_length_c 8.6224
_cell_angle_alpha 90.00
_cell_angle_beta 118.24
_cell_angle_gamma 90.00
_symmetry_space_group_name_H-M 'C 1 2/c 1'
_symmetry_Int_Tables_number 15
_symmetry_space_group_name_Hall '-C 2yc'
loop_
_atom_site_label
_atom_site_type_symbol
_atom_site_fract_x
_atom_site_fract_y
_atom_site_fract_z
_atom_site_occupancy
Fe1 Fe 0.0000 0.1223 0.2500 1
Cu1 Cu 0.0000 0.5000 0.0000 1
Cl1 Cl 0.0000 0.4289 0.7500 1
Cl2 Cl 0.0063 0.2334 0.4605 1
Cl3 Cl 0.2083 0.0145 0.8522 1
# **Formation energy from raw total energies**: -595.9 meV/atom
# **Size of the total moment**: 4.2 μB/f.u.